# 1
The following is a GGA-PBE calculation of a relaxed Cu2Ni5Pt crystal, from the Alexandria database.

Density of states at the Fermi level in states/eV per cell: 29.56
Energy above the most stable polymorph in this dataset in eV/f.u.: 0.000
Calculated total energy in eV per atom: -5.201
Energy of formation in meV per atom: 191

Cell lengths 6.6978, 6.6978, 6.6978 Å; angles 124.44, 124.44, 82.47 degrees
Fractional positions:
1 Cu 0.1443 0.6443 0.7886
2 Cu 0.3557 0.1443 0.5000
3 Cu 0.6443 0.8557 0.5000
4 Cu 0.8557 0.3557 0.2114
5 Ni 0.0000 0.0000 0.0000
6 Ni 0.0169 0.8113 0.5000
7 Ni 0.1887 0.6887 0.2056
8 Ni 0.3113 0.5169 0.5000
9 Ni 0.4831 0.9831 0.7944
10 Ni 0.5000 0.5000 0.0000
11 Ni 0.5169 0.0169 0.2056
12 Ni 0.6887 0.4831 0.5000
13 Ni 0.8113 0.3113 0.7944
14 Ni 0.9831 0.1887 0.5000
15 Pt 0.2500 0.2500 0.0000
16 Pt 0.7500 0.7500 0.0000


# 2
The following is a GGA-PBE calculation of a relaxed CuNi2Pt crystal, from the Alexandria database.

Density of states at the Fermi level in states/eV per cell: 4.63
Calculated total energy in eV per atom: -5.441
Energy of formation in meV per atom: -16

Cell lengths 8.4404, 8.4404, 8.4404 Å; angles 18.09, 18.09, 18.09 degrees
Fractional positions:
1 Cu 0.0000 0.0000 0.0000
2 Ni 0.2530 0.2530 0.2530
3 Ni 0.5093 0.5093 0.5093
4 Pt 0.7555 0.7555 0.7555


# 3
The following is a GGA-PBE calculation of a relaxed CuNiPt2 crystal, from the Alexandria database.

Density of states at the Fermi level in states/eV per cell: 6.49
Calculated total energy in eV per atom: -5.433
Energy of formation in meV per atom: 57

Cell lengths 4.2960, 4.2960, 4.2960 Å; angles 60.00, 60.00, 60.00 degrees
Fractional positions:
1 Cu 0.0000 0.0000 0.0000
2 Ni 0.2500 0.2500 0.2500
3 Pt 0.5000 0.5000 0.5000
4 Pt 0.7500 0.7500 0.7500


# 4
The following is a GGA-PBE calculation of a relaxed Cu5Ni4Pt4 crystal, from the Alexandria database.

Density of states at the Fermi level in states/eV per cell: 16.20
Calculated total energy in eV per atom: -5.295
Energy of formation in meV per atom: -82

Cell lengths 6.9359, 6.9359, 6.9359 Å; angles 94.21, 94.21, 148.55 degrees
Fractional positions:
1 Cu 0.0000 0.0000 0.0000
2 Cu 0.3082 0.5400 0.8482
3 Cu 0.4600 0.3082 0.7682
4 Cu 0.5400 0.6918 0.2318
5 Cu 0.6918 0.4600 0.1518
6 Ni 0.0761 0.3925 0.4686
7 Ni 0.3925 0.9239 0.3164
8 Ni 0.6075 0.0761 0.6836
9 Ni 0.9239 0.6075 0.5314
10 Pt 0.1465 0.7669 0.9134
11 Pt 0.2331 0.1465 0.3796
12 Pt 0.7669 0.8535 0.6204
13 Pt 0.8535 0.2331 0.0866


# 5
The following is a GGA-PBE calculation of a relaxed Cu3Ni2Pt6 crystal, from the Alexandria database.

Density of states at the Fermi level in states/eV per cell: 15.05
Calculated total energy in eV per atom: -5.400
Energy of formation in meV per atom: 63

Cell lengths 4.9220, 6.0558, 6.5022 Å; angles 63.11, 70.19, 72.01 degrees
Fractional positions:
1 Cu 0.0000 0.0000 0.0000
2 Cu 0.2352 0.7018 0.7925
3 Cu 0.7648 0.2982 0.2075
4 Ni 0.1196 0.8738 0.3853
5 Ni 0.8804 0.1262 0.6147
6 Pt 0.1123 0.5100 0.2694
7 Pt 0.3781 0.1610 0.6125
8 Pt 0.3914 0.2275 0.0087
9 Pt 0.6086 0.7725 0.9913
10 Pt 0.6219 0.8390 0.3875
11 Pt 0.8877 0.4900 0.7306


# 6
The following is a GGA-PBE calculation of a relaxed Cu6NiPt2 crystal, from the Alexandria database.

Density of states at the Fermi level in states/eV per cell: 4.27
Energy above the most stable polymorph in this dataset in eV/f.u.: 0.000
Calculated total energy in eV per atom: -4.757
Energy of formation in meV per atom: -41

Cell lengths 7.3231, 7.3231, 2.7228 Å; angles 94.96, 94.96, 125.86 degrees
Fractional positions:
1 Cu 0.0031 0.6775 0.6627
2 Cu 0.1673 0.1673 0.8365
3 Cu 0.3225 0.9969 0.3373
4 Cu 0.6775 0.0031 0.6627
5 Cu 0.8327 0.8327 0.1635
6 Cu 0.9969 0.3225 0.3373
7 Ni 0.5000 0.5000 0.5000
8 Pt 0.3369 0.6631 0.0000
9 Pt 0.6631 0.3369 0.0000


# 7
The following is a GGA-PBE calculation of a relaxed CuNiPt crystal, from the Alexandria database.

Density of states at the Fermi level in states/eV per cell: 4.51
Energy above the most stable polymorph in this dataset in eV/f.u.: 1.044
Calculated total energy in eV per atom: -5.039
Energy of formation in meV per atom: 267

Cell lengths 3.9890, 3.9890, 3.9890 Å; angles 60.00, 60.00, 60.00 degrees
Fractional positions:
1 Cu 0.0000 0.0000 0.0000
2 Ni 0.7500 0.7500 0.7500
3 Pt 0.5000 0.5000 0.5000


# 8
The following is a GGA-PBE calculation of a relaxed CuNi2Pt4 crystal, from the Alexandria database.

Density of states at the Fermi level in states/eV per cell: 19.90
Calculated total energy in eV per atom: -5.611
Energy of formation in meV per atom: 78

Cell lengths 5.2486, 5.2486, 8.3879 Å; angles 103.08, 103.08, 105.40 degrees
Fractional positions:
1 Cu 0.1528 0.8472 0.7500
2 Cu 0.8472 0.1528 0.2500
3 Ni 0.0649 0.2997 0.0315
4 Ni 0.2997 0.0649 0.5315
5 Ni 0.7003 0.9351 0.4685
6 Ni 0.9351 0.7003 0.9685
7 Pt 0.0963 0.3242 0.7368
8 Pt 0.2603 0.5398 0.4828
9 Pt 0.3242 0.0963 0.2368
10 Pt 0.4602 0.7397 0.0172
11 Pt 0.5398 0.2603 0.9828
12 Pt 0.6758 0.9037 0.7632
13 Pt 0.7397 0.4602 0.5172
14 Pt 0.9037 0.6758 0.2632